(1)
Here is SmAgPb after structural relaxation from Alexandria. Energies are from PBE-GGA.

Cell: 6.387 5.388 9.158 Å, 90.00 90.00 90.00°
Atoms (fractional coordinates):
1 Pb 0.250 0.499 0.830
2 Pb 0.750 0.501 0.170
3 Pb 0.750 0.999 0.670
4 Pb 0.250 0.001 0.330
5 Ag 0.000 0.500 0.500
6 Ag 0.500 0.000 0.000
7 Ag 0.000 0.000 0.000
8 Ag 0.500 0.500 0.500
9 Sm 0.750 0.499 0.834
10 Sm 0.250 0.999 0.666
11 Sm 0.750 0.001 0.334
12 Sm 0.250 0.501 0.166

Computed properties:
M_tot: 0.00 μB per cell
calculated density: 9.8 g/cm3
electronic total energy: -4.06 eV/atom
DFT formation energy: -0.890 eV/f.u.



(2)
Here is Sm7Ag2Pb2 after structural relaxation from Alexandria. Energies are from PBE-GGA.

Cell: 7.186 7.236 7.186 Å, 90.00 106.99 90.00°
Atoms (fractional coordinates):
1 Sm 0.500 0.732 0.000
2 Sm 0.500 0.755 0.500
3 Sm 0.000 0.000 0.000
4 Sm 0.000 0.268 0.500
5 Sm 0.000 0.732 0.500
6 Sm 0.500 0.245 0.500
7 Sm 0.500 0.268 0.000
8 Pb 0.819 0.500 0.819
9 Pb 0.181 0.500 0.181
10 Ag 0.283 0.000 0.717
11 Ag 0.717 0.000 0.283

Computed properties:
M_tot: 0.00 μB per cell
calculated density: 7.8 g/cm3
electronic total energy: -4.23 eV/atom
DFT formation energy: -0.400 eV/f.u.



(3)
Here is SmAgPb after structural relaxation from Alexandria. Energies are from PBE-GGA.

Cell: 4.746 4.746 9.557 Å, 75.46 75.46 59.72°
Atoms (fractional coordinates):
1 Ag 0.721 0.009 0.955
2 Ag 0.200 0.487 0.527
3 Pb 0.573 0.860 0.405
4 Pb 0.348 0.636 0.077
5 Sm 0.960 0.248 0.241
6 Sm 0.460 0.748 0.741

Computed properties:
M_tot: 0.00 μB per cell
calculated density: 8.7 g/cm3
electronic total energy: -3.81 eV/atom
DFT formation energy: -0.154 eV/f.u.



(4)
Here is SmAgPb2 after structural relaxation from Alexandria. Energies are from PBE-GGA.

Cell: 4.552 4.817 4.817 Å, 90.00 90.00 90.00°
Atoms (fractional coordinates):
1 Ag 0.500 0.000 0.000
2 Pb 0.000 0.000 0.500
3 Pb 0.000 0.500 0.000
4 Sm 0.500 0.500 0.500

Computed properties:
M_tot: 0.00 μB per cell
calculated density: 10.6 g/cm3
electronic total energy: -4.07 eV/atom
DFT formation energy: -1.305 eV/f.u.



(5)
Here is SmAg2Pb after structural relaxation from Alexandria. Energies are from PBE-GGA.

Cell: 4.603 4.584 4.584 Å, 90.00 90.00 90.00°
Atoms (fractional coordinates):
1 Ag 0.000 0.000 0.500
2 Ag 0.000 0.500 0.000
3 Sm 0.500 0.000 0.000
4 Pb 0.500 0.500 0.500

Computed properties:
M_tot: 0.00 μB per cell
calculated density: 9.8 g/cm3
electronic total energy: -3.74 eV/atom
DFT formation energy: -0.833 eV/f.u.



(6)
Here is Sm4Ag5Pb after structural relaxation from Alexandria. Energies are from PBE-GGA.

Cell: 3.783 3.783 17.615 Å, 90.00 90.00 90.00°
Atoms (fractional coordinates):
1 Ag 0.500 0.500 0.293
2 Ag 0.500 0.500 0.707
3 Ag 0.500 0.500 0.099
4 Ag 0.500 0.500 0.901
5 Ag 0.500 0.500 0.500
6 Sm 0.000 0.000 0.396
7 Sm 0.000 0.000 0.604
8 Sm 0.000 0.000 0.809
9 Sm 0.000 0.000 0.191
10 Pb 0.000 0.000 0.000

Computed properties:
M_tot: 0.00 μB per cell
calculated density: 8.9 g/cm3
electronic total energy: -3.92 eV/atom
DFT formation energy: -2.385 eV/f.u.



(7)
Here is SmAgPb after structural relaxation from Alexandria. Energies are from PBE-GGA.

Cell: 3.626 4.956 4.956 Å, 120.00 90.00 90.00°
Atoms (fractional coordinates):
1 Pb 0.162 0.000 0.000
2 Sm 0.667 0.667 0.333
3 Ag 0.171 0.333 0.667

Computed properties:
M_tot: 0.00 μB per cell
calculated density: 10.0 g/cm3
electronic total energy: -4.13 eV/atom
DFT formation energy: -1.109 eV/f.u.



(8)
Here is SmAgPb after structural relaxation from Alexandria. Energies are from PBE-GGA.

Cell: 3.246 3.246 8.763 Å, 100.67 100.67 90.00°
Atoms (fractional coordinates):
1 Sm 0.944 0.944 0.888
2 Ag 0.767 0.767 0.534
3 Pb 0.139 0.139 0.278

Computed properties:
M_tot: 0.00 μB per cell
calculated density: 8.7 g/cm3
electronic total energy: -3.39 eV/atom
DFT formation energy: 1.104 eV/f.u.



(9)
Here is SmAg2Pb after structural relaxation from Alexandria. Energies are from PBE-GGA.

Cell: 3.886 3.886 6.579 Å, 90.00 90.00 90.00°
Atoms (fractional coordinates):
1 Sm 0.500 0.500 0.000
2 Ag 0.000 0.000 0.762
3 Ag 0.000 0.000 0.238
4 Pb 0.500 0.500 0.500

Computed properties:
M_tot: 0.00 μB per cell
calculated density: 9.6 g/cm3
electronic total energy: -3.72 eV/atom
DFT formation energy: -0.765 eV/f.u.



(10)
Here is SmAgPb2 after structural relaxation from Alexandria. Energies are from PBE-GGA.

Cell: 3.725 3.725 7.730 Å, 90.00 90.00 90.00°
Atoms (fractional coordinates):
1 Ag 0.500 0.500 0.000
2 Pb 0.000 0.000 0.779
3 Pb 0.000 0.000 0.221
4 Sm 0.500 0.500 0.500

Computed properties:
M_tot: 0.00 μB per cell
calculated density: 10.4 g/cm3
electronic total energy: -3.87 eV/atom
DFT formation energy: -0.505 eV/f.u.



(11)
Here is SmAgPb2 after structural relaxation from Alexandria. Energies are from PBE-GGA.

Cell: 3.505 3.505 11.227 Å, 81.02 81.02 60.00°
Atoms (fractional coordinates):
1 Pb 0.097 0.097 0.709
2 Pb 0.903 0.903 0.291
3 Ag 0.500 0.500 0.500
4 Sm 0.000 0.000 0.000

Computed properties:
M_tot: 0.00 μB per cell
calculated density: 9.5 g/cm3
electronic total energy: -3.63 eV/atom
DFT formation energy: 0.482 eV/f.u.



(12)
Here is SmAgSnPb after structural relaxation from Alexandria. Energies are from PBE-GGA.

Cell: 5.344 5.344 5.344 Å, 60.00 60.00 60.00°
Atoms (fractional coordinates):
1 Sn 0.250 0.250 0.250
2 Ag 0.750 0.750 0.750
3 Sm 0.000 0.000 0.000
4 Pb 0.500 0.500 0.500

Computed properties:
M_tot: 0.00 μB per cell
calculated density: 9.0 g/cm3
electronic total energy: -4.02 eV/atom
DFT formation energy: -0.784 eV/f.u.